Record 1
Material: LiGa2SnGe
Method: DFT, PBE-GGA
State: optimized geometry

It has space group P4/mmm (No. 123), with a = 4.6460 Å, b = 4.6460 Å, c = 5.0633 Å, α = 90.00°, β = 90.00° and γ = 90.00°. The asymmetric unit holds Li at (0.0000, 0.0000, 0.0000), Ga at (0.0000, 0.5000, 0.0000), Sn at (0.0000, 0.0000, 0.5000) and Ge at (0.5000, 0.5000, 0.5000).

Its formation energy is 0.34 eV per atom. The magnetization comes out at 0.0 Bohr magnetons per cell.



Record 2
Material: SrLi2GaGe2
Method: DFT, PBE-GGA
State: optimized geometry

It has space group Pmc2_1 (No. 26), with a = 4.3442 Å, b = 7.7266 Å, c = 7.6093 Å, α = 90.00°, β = 90.00° and γ = 90.00°. The asymmetric unit holds Sr at (0.0000, 0.0892, 0.0000), Li at (0.0000, 0.3264, 0.3673), Li at (0.5000, 0.4443, 0.0539), Ga at (0.5000, 0.1897, 0.6484), Ge at (0.0000, 0.3781, 0.7104) and Ge at (0.5000, 0.1390, 0.2960).

Its formation energy is -0.37 eV per atom. The magnetization comes out at 0.0 Bohr magnetons per cell.



Record 3
Material: Sr2LiGaGe2
Method: DFT, PBE-GGA
State: optimized geometry

It has space group Ibam (No. 72), with a = 6.3382 Å, b = 14.5384 Å, c = 6.4220 Å, α = 90.00°, β = 90.00° and γ = 90.00°. The asymmetric unit holds Sr at (0.2470, 0.1612, 0.0000), Li at (0.0000, 0.0000, 0.2500), Ga at (0.0000, 0.5000, 0.2500) and Ge at (0.2407, 0.3940, 0.0000).

Its formation energy is -0.54 eV per atom. The magnetization comes out at 0.0 Bohr magnetons per cell.



Record 4
Material: Sr2Li3GaGe4
Method: DFT, PBE-GGA
State: optimized geometry

It has space group P-4m2 (No. 115), with a = 4.2291 Å, b = 4.2291 Å, c = 11.5339 Å, α = 90.00°, β = 90.00° and γ = 90.00°. The asymmetric unit holds Sr at (0.0000, 0.5000, 0.2494), Li at (0.0000, 0.5000, 0.8628), Li at (0.5000, 0.5000, 0.5000), Ga at (0.0000, 0.0000, 0.5000), Ge at (0.0000, 0.0000, 0.0000), Ge at (0.0000, 0.5000, 0.6366) and Ge at (0.5000, 0.5000, 0.0000).

Its formation energy is -0.44 eV per atom. The magnetization comes out at 0.0 Bohr magnetons per cell.



Record 5
Material: Li2TaGaGe
Method: DFT, PBE-GGA
State: optimized geometry

It has space group P4/mmm (No. 123), with a = 4.2581 Å, b = 4.2581 Å, c = 5.0089 Å, α = 90.00°, β = 90.00° and γ = 90.00°. The asymmetric unit holds Li at (0.0000, 0.5000, 0.0000), Ta at (0.0000, 0.0000, 0.5000), Ga at (0.0000, 0.0000, 0.0000) and Ge at (0.5000, 0.5000, 0.5000).

Its formation energy is 0.45 eV per atom. The magnetization comes out at 0.0 Bohr magnetons per cell.



Record 6
Material: Li2TbGaGe2
Method: DFT, PBE-GGA
State: optimized geometry

It has space group Pmc2_1 (No. 26), with a = 4.1202 Å, b = 8.0149 Å, c = 7.1155 Å, α = 90.00°, β = 90.00° and γ = 90.00°. The asymmetric unit holds Li at (0.0000, 0.0755, 0.0000), Li at (0.5000, 0.1690, 0.3235), Tb at (0.5000, 0.4336, 0.9445), Ga at (0.0000, 0.3073, 0.6062), Ge at (0.0000, 0.3667, 0.2319) and Ge at (0.5000, 0.1401, 0.7015).

Its formation energy is -0.51 eV per atom. The magnetization comes out at 0.0 Bohr magnetons per cell.



Record 7
Material: LiTbGaGe
Method: DFT, PBE-GGA
State: optimized geometry

It has space group F-43m (No. 216), with a = 6.8551 Å, b = 6.8551 Å, c = 6.8551 Å, α = 90.00°, β = 90.00° and γ = 90.00°. The asymmetric unit holds Li at (0.0000, 0.0000, 0.0000), Tb at (0.0000, 0.0000, 0.5000), Ga at (0.2500, 0.2500, 0.7500) and Ge at (0.2500, 0.2500, 0.2500).

Its formation energy is -0.44 eV per atom. The magnetization comes out at 0.0 Bohr magnetons per cell.



Record 8
Material: LiTlGaGe2
Method: DFT, PBE-GGA
State: optimized geometry

It has space group P4/mmm (No. 123), with a = 4.9939 Å, b = 4.9939 Å, c = 4.9690 Å, α = 90.00°, β = 90.00° and γ = 90.00°. The asymmetric unit holds Li at (0.0000, 0.0000, 0.0000), Tl at (0.5000, 0.5000, 0.0000), Ga at (0.0000, 0.0000, 0.5000) and Ge at (0.0000, 0.5000, 0.5000).

Its formation energy is 0.27 eV per atom. The magnetization comes out at 0.0 Bohr magnetons per cell.



Record 9
Material: Li2TmGa2Ge2
Method: DFT, PBE-GGA
State: optimized geometry

It has space group R-3m (No. 166, hexagonal axes), with a = 4.3560 Å, b = 4.3560 Å, c = 22.9335 Å, α = 90.00°, β = 90.00° and γ = 120.00°. The asymmetric unit holds Li at (0.0000, 0.0000, 0.1427), Tm at (0.0000, 0.0000, 0.0000), Ga at (0.0000, 0.0000, 0.4398) and Ge at (0.0000, 0.0000, 0.2607).

Its formation energy is -0.38 eV per atom. The magnetization comes out at 0.0 Bohr magnetons per cell.



Record 10
Material: Li2VGaGe
Method: DFT, PBE-GGA
State: optimized geometry

It has space group P4/mmm (No. 123), with a = 4.4273 Å, b = 4.4273 Å, c = 4.9464 Å, α = 90.00°, β = 90.00° and γ = 90.00°. The asymmetric unit holds Li at (0.0000, 0.5000, 0.0000), V at (0.0000, 0.0000, 0.5000), Ga at (0.5000, 0.5000, 0.5000) and Ge at (0.5000, 0.5000, 0.0000).

Its formation energy is 0.78 eV per atom. The magnetization comes out at 0.3 Bohr magnetons per cell.



Record 11
Material: Li2YGaGe2
Method: DFT, PBE-GGA
State: optimized geometry

It has space group Pmc2_1 (No. 26), with a = 4.1203 Å, b = 8.0178 Å, c = 7.0951 Å, α = 90.00°, β = 90.00° and γ = 90.00°. The asymmetric unit holds Li at (0.0000, 0.0766, 0.0000), Li at (0.5000, 0.1693, 0.3234), Y at (0.5000, 0.4346, 0.9448), Ga at (0.0000, 0.3068, 0.6067), Ge at (0.0000, 0.3671, 0.2317) and Ge at (0.5000, 0.1401, 0.7029).

Its formation energy is -0.52 eV per atom. The magnetization comes out at 0.0 Bohr magnetons per cell.



Q: The highest magnetization belongs to which entry?
A: Li2VGaGe



Please write out number 4 again, unchanged.
Material: Sr2Li3GaGe4
Method: DFT, PBE-GGA
State: optimized geometry

It has space group P-4m2 (No. 115), with a = 4.2291 Å, b = 4.2291 Å, c = 11.5339 Å, α = 90.00°, β = 90.00° and γ = 90.00°. The asymmetric unit holds Sr at (0.0000, 0.5000, 0.2494), Li at (0.0000, 0.5000, 0.8628), Li at (0.5000, 0.5000, 0.5000), Ga at (0.0000, 0.0000, 0.5000), Ge at (0.0000, 0.0000, 0.0000), Ge at (0.0000, 0.5000, 0.6366) and Ge at (0.5000, 0.5000, 0.0000).

Its formation energy is -0.44 eV per atom. The magnetization comes out at 0.0 Bohr magnetons per cell.